Record 1
This record from Alexandria describes a geometry-optimized MgZrCr2 structure. The functional is PBE-GGA. Values from VASP.

Calculated values
Its space-group type is No. 119. The value obtained for the magnetic moment is 5.66 μB per cell. Its formation energy is 0.5018 eV per atom. The calculated volume comes out at 17.85 Å³ per atom. As for the total DFT energy (no corrections): -6.846 eV per atom.

Geometry as Quantum ESPRESSO input:
```
&SYSTEM
  ibrav = 0, nat = 4, ntyp = 3
/
ATOMIC_SPECIES
Mg 24.30 Mg.upf
Zr 91.22 Zr.upf
Cr 52.00 Cr.upf
ATOMIC_POSITIONS crystal
Mg 0.000 0.000 0.000
Zr 0.250 0.750 0.500
Cr 0.500 0.500 0.000
Cr 0.750 0.250 0.500
CELL_PARAMETERS angstrom
-2.007 2.007 4.429
2.007 -2.007 4.429
2.007 2.007 -4.429
```

Record 2
This record from Alexandria describes a geometry-optimized CrCdIr3 structure. The functional is PBE-GGA. Values from VASP.

Calculated values
Its space-group type is No. 221. The value obtained for the magnetic moment is 0.00 μB per cell. Its formation energy is 1.0708 eV per atom. The energy relative to the lowest polymorph listed for this composition comes out at 0.0 kJ/mol of atoms. The calculated volume comes out at 18.49 Å³ per atom. As for the total DFT energy (no corrections): -6.354 eV per atom.

Geometry as Quantum ESPRESSO input:
```
&SYSTEM
  ibrav = 0, nat = 5, ntyp = 3
/
ATOMIC_SPECIES
Cr 52.00 Cr.upf
Cd 112.41 Cd.upf
Ir 192.22 Ir.upf
ATOMIC_POSITIONS crystal
Cr 0.000 0.000 0.000
Cd 0.500 0.500 0.500
Ir 0.000 0.000 0.500
Ir 0.000 0.500 0.000
Ir 0.500 0.000 0.000
CELL_PARAMETERS angstrom
4.521 0.000 0.000
0.000 4.521 0.000
0.000 0.000 4.521
```

Record 3
This record from Alexandria describes a geometry-optimized K3Ba2Br3O2 structure. The functional is PBE-GGA. Values from VASP.

Calculated values
Its space-group type is No. 139. The value obtained for the magnetic moment is 0.00 μB per cell. The calculated volume comes out at 33.73 Å³ per atom. As for the total DFT energy (no corrections): -4.157 eV per atom. The value obtained for the formation energy without anion corrections is -1950 meV/atom.

Geometry as Quantum ESPRESSO input:
```
&SYSTEM
  ibrav = 0, nat = 10, ntyp = 4
/
ATOMIC_SPECIES
K 39.10 K.upf
Ba 137.33 Ba.upf
Br 79.90 Br.upf
O 16.00 O.upf
ATOMIC_POSITIONS crystal
K 0.000 0.000 0.000
K 0.377 0.377 0.000
K 0.623 0.623 0.000
Ba 0.250 0.750 0.500
Ba 0.750 0.250 0.500
Br 0.130 0.130 0.000
Br 0.500 0.500 0.000
Br 0.870 0.870 0.000
O 0.280 0.280 0.000
O 0.720 0.720 0.000
CELL_PARAMETERS angstrom
-2.525 2.525 13.226
2.525 -2.525 13.226
2.525 2.525 -13.226
```

- Number 2 is which compound?
  CrCdIr3